# 1
SrCa2CdPd | PBE-GGA | optimized geometry Values from VASP.

Summary:
* total moment: 0.000 μB/atom
* formation energy from the elements: -0.296 eV/atom
* total DFT energy (no corrections): -2.6549 eV per atom
* energy above the most stable polymorph in this dataset: 0.013 eV/atom
* symmetry: P4/mmm

Structure (Quantum ESPRESSO input):
```
&SYSTEM
  ibrav = 0, nat = 5, ntyp = 4
/
ATOMIC_SPECIES
Ca 40.08 Ca.upf
Pd 106.42 Pd.upf
Cd 112.41 Cd.upf
Sr 87.62 Sr.upf
CELL_PARAMETERS angstrom
-3.666 -4.145 0.227
1.405 -1.524 -5.136
3.862 -3.303 2.037
ATOMIC_POSITIONS crystal
Ca 0.000 0.500 0.000
Ca 0.500 0.000 0.000
Pd 0.000 0.000 0.000
Cd 0.000 0.000 0.500
Sr 0.500 0.500 0.500
```


# 2
SrCaCdPd | PBE-GGA | optimized geometry Values from VASP.

Summary:
* total moment: 0.000 μB/atom
* formation energy from the elements: -0.411 eV/atom
* total DFT energy (no corrections): -2.8592 eV per atom
* symmetry: F-43m

Structure (Quantum ESPRESSO input):
```
&SYSTEM
  ibrav = 0, nat = 4, ntyp = 4
/
ATOMIC_SPECIES
Pd 106.42 Pd.upf
Cd 112.41 Cd.upf
Sr 87.62 Sr.upf
Ca 40.08 Ca.upf
CELL_PARAMETERS angstrom
-2.157 -2.919 3.941
2.642 -4.232 1.954
2.093 0.190 4.929
ATOMIC_POSITIONS crystal
Pd 0.250 0.250 0.250
Cd 0.750 0.750 0.750
Sr 0.000 0.000 0.000
Ca 0.500 0.500 0.500
```


# 3
CaTbCdPd | PBE-GGA | optimized geometry Values from VASP.

Summary:
* total moment: 0.000 μB/atom
* formation energy from the elements: -0.498 eV/atom
* total DFT energy (no corrections): -3.6831 eV per atom
* symmetry: F-43m

Structure (Quantum ESPRESSO input):
```
&SYSTEM
  ibrav = 0, nat = 4, ntyp = 4
/
ATOMIC_SPECIES
Pd 106.42 Pd.upf
Cd 112.41 Cd.upf
Tb 158.93 Tb.upf
Ca 40.08 Ca.upf
CELL_PARAMETERS angstrom
5.152 0.000 0.000
2.576 4.462 0.000
2.576 1.487 4.207
ATOMIC_POSITIONS crystal
Pd 0.250 0.250 0.250
Cd 0.750 0.750 0.750
Tb 0.500 0.500 0.500
Ca 0.000 0.000 0.000
```


# 4
Ca2CdTcPd | PBE-GGA | optimized geometry Values from VASP.

Summary:
* total moment: 0.673 μB/atom
* formation energy from the elements: 0.546 eV/atom
* total DFT energy (no corrections): -3.5499 eV per atom
* symmetry: P4/mmm

Structure (Quantum ESPRESSO input):
```
&SYSTEM
  ibrav = 0, nat = 5, ntyp = 4
/
ATOMIC_SPECIES
Ca 40.08 Ca.upf
Tc 98.00 Tc.upf
Pd 106.42 Pd.upf
Cd 112.41 Cd.upf
CELL_PARAMETERS angstrom
-3.265 3.898 -1.622
-1.847 -3.084 -3.694
-3.763 -1.759 3.350
ATOMIC_POSITIONS crystal
Ca 0.500 0.000 0.000
Ca 0.000 0.000 0.500
Tc 0.500 0.500 0.500
Pd 0.000 0.000 0.000
Cd 0.000 0.500 0.000
```


# 5
CaTiCd2Pd | PBE-GGA | optimized geometry Values from VASP.

Summary:
* total moment: 0.011 μB/atom
* formation energy from the elements: 1.011 eV/atom
* total DFT energy (no corrections): -2.3729 eV per atom
* symmetry: P4/mmm

Structure (Quantum ESPRESSO input):
```
&SYSTEM
  ibrav = 0, nat = 5, ntyp = 4
/
ATOMIC_SPECIES
Ca 40.08 Ca.upf
Ti 47.87 Ti.upf
Cd 112.41 Cd.upf
Pd 106.42 Pd.upf
CELL_PARAMETERS angstrom
5.392 0.000 0.000
0.000 4.797 0.000
0.000 0.000 5.392
ATOMIC_POSITIONS crystal
Ca 0.000 0.000 0.000
Ti 0.500 0.500 0.500
Cd 0.000 0.000 0.500
Cd 0.500 0.000 0.000
Pd 0.000 0.500 0.000
```


# 6
CaTlCdPd | PBE-GGA | optimized geometry Values from VASP.

Summary:
* total moment: 0.000 μB/atom
* formation energy from the elements: -0.336 eV/atom
* total DFT energy (no corrections): -2.9553 eV per atom
* symmetry: F-43m

Structure (Quantum ESPRESSO input):
```
&SYSTEM
  ibrav = 0, nat = 4, ntyp = 4
/
ATOMIC_SPECIES
Pd 106.42 Pd.upf
Cd 112.41 Cd.upf
Ca 40.08 Ca.upf
Tl 204.38 Tl.upf
CELL_PARAMETERS angstrom
5.049 0.000 0.000
2.524 4.372 0.000
2.524 1.457 4.122
ATOMIC_POSITIONS crystal
Pd 0.250 0.250 0.250
Cd 0.000 0.000 0.000
Ca 0.500 0.500 0.500
Tl 0.750 0.750 0.750
```


# 7
CaTlCd2Pd | PBE-GGA | optimized geometry Values from VASP.

Summary:
* total moment: 0.000 μB/atom
* formation energy from the elements: -0.186 eV/atom
* total DFT energy (no corrections): -2.4643 eV per atom
* symmetry: P4/mmm

Structure (Quantum ESPRESSO input):
```
&SYSTEM
  ibrav = 0, nat = 5, ntyp = 4
/
ATOMIC_SPECIES
Cd 112.41 Cd.upf
Tl 204.38 Tl.upf
Ca 40.08 Ca.upf
Pd 106.42 Pd.upf
CELL_PARAMETERS angstrom
5.259 0.000 0.000
0.000 5.259 0.000
0.000 0.000 5.318
ATOMIC_POSITIONS crystal
Cd 0.500 0.000 0.000
Cd 0.000 0.500 0.000
Tl 0.500 0.500 0.500
Ca 0.000 0.000 0.500
Pd 0.000 0.000 0.000
```


# 8
Ca2Tl2CdPd5 | PBE-GGA | optimized geometry Values from VASP.

Summary:
* total moment: 0.000 μB/atom
* formation energy from the elements: -0.399 eV/atom
* total DFT energy (no corrections): -3.9600 eV per atom
* symmetry: P4/mbm

Structure (Quantum ESPRESSO input):
```
&SYSTEM
  ibrav = 0, nat = 20, ntyp = 4
/
ATOMIC_SPECIES
Cd 112.41 Cd.upf
Tl 204.38 Tl.upf
Pd 106.42 Pd.upf
Ca 40.08 Ca.upf
CELL_PARAMETERS angstrom
-1.579 2.597 2.486
-5.279 -7.590 4.575
7.830 -1.502 6.544
ATOMIC_POSITIONS crystal
Cd 0.000 0.000 0.000
Cd 0.000 0.500 0.500
Tl 0.000 0.870 0.370
Tl 0.000 0.370 0.130
Tl 0.000 0.630 0.870
Tl 0.000 0.130 0.630
Pd 0.500 0.441 0.308
Pd 0.500 0.692 0.441
Pd 0.500 0.941 0.192
Pd 0.500 0.500 0.000
Pd 0.500 0.808 0.941
Pd 0.500 0.559 0.692
Pd 0.500 0.059 0.808
Pd 0.500 0.000 0.500
Pd 0.500 0.192 0.059
Pd 0.500 0.308 0.559
Ca 0.000 0.670 0.170
Ca 0.000 0.170 0.330
Ca 0.000 0.830 0.670
Ca 0.000 0.330 0.830
```


# 9
CaTmCd2Pd4 | PBE-GGA | optimized geometry Values from VASP.

Summary:
* total moment: 0.000 μB/atom
* formation energy from the elements: -0.667 eV/atom
* total DFT energy (no corrections): -4.3011 eV per atom
* symmetry: R-3m

Structure (Quantum ESPRESSO input):
```
&SYSTEM
  ibrav = 0, nat = 8, ntyp = 4
/
ATOMIC_SPECIES
Cd 112.41 Cd.upf
Tm 168.93 Tm.upf
Pd 106.42 Pd.upf
Ca 40.08 Ca.upf
CELL_PARAMETERS angstrom
4.788 0.000 0.000
2.394 4.147 0.000
2.394 1.382 7.758
ATOMIC_POSITIONS crystal
Cd 0.251 0.251 0.247
Cd 0.749 0.749 0.753
Tm 0.500 0.500 0.500
Pd 0.128 0.128 0.616
Pd 0.622 0.622 0.135
Pd 0.378 0.378 0.865
Pd 0.872 0.872 0.384
Ca 0.000 0.000 0.000
```


# 10
CaTmCdPd | PBE-GGA | optimized geometry Values from VASP.

Summary:
* total moment: 0.000 μB/atom
* formation energy from the elements: -0.492 eV/atom
* total DFT energy (no corrections): -3.6375 eV per atom
* symmetry: F-43m

Structure (Quantum ESPRESSO input):
```
&SYSTEM
  ibrav = 0, nat = 4, ntyp = 4
/
ATOMIC_SPECIES
Pd 106.42 Pd.upf
Tm 168.93 Tm.upf
Ca 40.08 Ca.upf
Cd 112.41 Cd.upf
CELL_PARAMETERS angstrom
5.107 0.000 0.000
2.554 4.423 0.000
2.554 1.474 4.170
ATOMIC_POSITIONS crystal
Pd 0.250 0.250 0.250
Tm 0.500 0.500 0.500
Ca 0.000 0.000 0.000
Cd 0.750 0.750 0.750
```


# 11
CaCdPdW2 | PBE-GGA | optimized geometry Values from VASP.

Summary:
* total moment: 0.000 μB/atom
* formation energy from the elements: 1.473 eV/atom
* total DFT energy (no corrections): -5.3305 eV per atom
* symmetry: P4/mmm

Structure (Quantum ESPRESSO input):
```
&SYSTEM
  ibrav = 0, nat = 5, ntyp = 4
/
ATOMIC_SPECIES
W 183.84 W.upf
Ca 40.08 Ca.upf
Cd 112.41 Cd.upf
Pd 106.42 Pd.upf
CELL_PARAMETERS angstrom
4.820 0.000 0.000
0.000 5.266 0.000
0.000 0.000 4.820
ATOMIC_POSITIONS crystal
W 0.500 0.000 0.000
W 0.000 0.000 0.500
Ca 0.000 0.500 0.000
Cd 0.500 0.500 0.500
Pd 0.000 0.000 0.000
```


# 12
Ca2YCdPd | PBE-GGA | optimized geometry Values from VASP.

Summary:
* total moment: 0.000 μB/atom
* formation energy from the elements: -0.252 eV/atom
* total DFT energy (no corrections): -3.5671 eV per atom
* symmetry: P4/mmm

Structure (Quantum ESPRESSO input):
```
&SYSTEM
  ibrav = 0, nat = 5, ntyp = 4
/
ATOMIC_SPECIES
Pd 106.42 Pd.upf
Ca 40.08 Ca.upf
Cd 112.41 Cd.upf
Y 88.91 Y.upf
CELL_PARAMETERS angstrom
5.523 0.000 0.000
0.000 5.523 0.000
0.000 0.000 5.434
ATOMIC_POSITIONS crystal
Pd 0.000 0.000 0.000
Ca 0.500 0.000 0.000
Ca 0.000 0.500 0.000
Cd 0.500 0.500 0.500
Y 0.000 0.000 0.500
```


- What is the formation energy from the elements in the third record?
  -0.498 eV/atom